Below is a relaxed TeWBr2 crystal, with properties calculated at the PBE-GGA level.

Cell lengths 3.1400, 3.1403, 10.0468 Å; angles 90.00, 90.00, 90.00 degrees
Element x y z (fractional)
Te (0.5000, 0.5000, 0.2500)
Br (0.0000, 0.0000, 0.9098)
Br (0.0000, 0.0000, 0.5902)
W (0.5000, 0.5000, 0.7500)

The uncorrected formation energy comes out at 504.1 meV per atom. Its total energy is -4.36 eV per atom. For the energy above the lowest structure with this stoichiometry, the calculation gives 558.5 meV/atom.

***

Below is a relaxed CoAgP2 crystal, with properties calculated at the PBE-GGA level.

Cell lengths 4.1599, 4.1617, 3.2884 Å; angles 90.00, 90.00, 90.00 degrees
Element x y z (fractional)
Ag (0.5000, 0.0000, 0.5000)
Co (0.0000, 0.5000, 0.5000)
P (0.0000, 0.0000, 0.0000)
P (0.5000, 0.5000, 0.0000)

Its formation energy is 1.820 eV per formula unit. Its total energy is -4.74 eV per atom. For the energy above the lowest structure with this stoichiometry, the calculation gives 417.2 meV/atom.

***

Below is a relaxed TbDyHgSb crystal, with properties calculated at the PBE-GGA level.

Cell lengths 5.3073, 5.3073, 5.3073 Å; angles 60.00, 60.00, 60.00 degrees
Element x y z (fractional)
Sb (0.5000, 0.5000, 0.5000)
Tb (0.2500, 0.2500, 0.2500)
Hg (0.0000, 0.0000, 0.0000)
Dy (0.7500, 0.7500, 0.7500)

The uncorrected formation energy comes out at -609.3 meV per atom. Its total energy is -4.02 eV per atom.

***

Below is a relaxed Ta2ZnAuSe crystal, with properties calculated at the PBE-GGA level.

Cell lengths 5.0359, 5.0234, 5.0359 Å; angles 90.00, 90.00, 90.00 degrees
Element x y z (fractional)
Zn (0.5000, 0.5000, 0.5000)
Au (0.0000, 0.0000, 0.0000)
Se (0.0000, 0.5000, 0.0000)
Ta (0.0000, 0.0000, 0.5000)
Ta (0.5000, 0.0000, 0.0000)

The uncorrected formation energy comes out at 1673.5 meV per atom. Its total energy is -4.67 eV per atom.

***

Below is a relaxed BeMoCl3 crystal, with properties calculated at the PBE-GGA level.

Cell lengths 4.5831, 4.5831, 4.5831 Å; angles 90.00, 90.00, 90.00 degrees
Element x y z (fractional)
Be (0.0000, 0.0000, 0.0000)
Mo (0.5000, 0.5000, 0.5000)
Cl (0.0000, 0.5000, 0.0000)
Cl (0.0000, 0.0000, 0.5000)
Cl (0.5000, 0.0000, 0.0000)

The uncorrected formation energy comes out at 77.6 meV per atom. Its total energy is -3.94 eV per atom. For the energy above the lowest structure with this stoichiometry, the calculation gives 0.0 meV/atom.

***

Below is a relaxed LiAc2Bi4Rh3 crystal, with properties calculated at the PBE-GGA level.

Cell lengths 4.7972, 4.7972, 10.9402 Å; angles 90.00, 90.00, 90.00 degrees
Element x y z (fractional)
Li (0.5000, 0.5000, 0.5000)
Ac (0.5000, 0.0000, 0.2567)
Ac (0.0000, 0.5000, 0.7433)
Bi (0.5000, 0.5000, 0.0000)
Bi (0.0000, 0.0000, 0.0000)
Bi (0.5000, 0.0000, 0.6281)
Bi (0.0000, 0.5000, 0.3719)
Rh (0.0000, 0.0000, 0.5000)
Rh (0.5000, 0.0000, 0.8753)
Rh (0.0000, 0.5000, 0.1247)

Its formation energy is -5.714 eV per formula unit. Its total energy is -5.34 eV per atom.

***

Below is a relaxed KBPt3 crystal, with properties calculated at the PBE-GGA level.

Cell lengths 4.5442, 4.5442, 8.8477 Å; angles 90.00, 90.00, 120.00 degrees
Element x y z (fractional)
K (0.3333, 0.6667, 0.7500)
K (0.6667, 0.3333, 0.2500)
B (0.0000, 0.0000, 0.0000)
B (0.0000, 0.0000, 0.5000)
Pt (0.0000, 0.0000, 0.2500)
Pt (0.0000, 0.0000, 0.7500)
Pt (0.3333, 0.6667, 0.0706)
Pt (0.3333, 0.6667, 0.4294)
Pt (0.6667, 0.3333, 0.5706)
Pt (0.6667, 0.3333, 0.9294)

Its formation energy is 3.080 eV per formula unit. Its total energy is -4.56 eV per atom.

***

Below is a relaxed PaBiTe2N crystal, with properties calculated at the PBE-GGA level.

Cell lengths 3.9505, 3.9505, 19.7334 Å; angles 90.00, 90.00, 90.00 degrees
Element x y z (fractional)
Pa (0.5000, 0.0000, 0.5595)
Pa (0.0000, 0.5000, 0.4405)
Bi (0.5000, 0.0000, 0.1617)
Bi (0.0000, 0.5000, 0.8383)
Te (0.0000, 0.5000, 0.6473)
Te (0.0000, 0.5000, 0.0941)
Te (0.5000, 0.0000, 0.9059)
Te (0.5000, 0.0000, 0.3527)
N (0.0000, 0.0000, 0.5000)
N (0.5000, 0.5000, 0.5000)

The uncorrected formation energy comes out at -902.0 meV per atom. Its total energy is -6.50 eV per atom.

***

Below is a relaxed BaAlCl2 crystal, with properties calculated at the PBE-GGA level.

Cell lengths 5.2370, 5.2370, 6.3297 Å; angles 82.61, 82.61, 49.94 degrees
Element x y z (fractional)
Al (0.2500, 0.2500, 0.2500)
Ba (0.7500, 0.7500, 0.7500)
Cl (0.0428, 0.0428, 0.9708)
Cl (0.4572, 0.4572, 0.5292)

The uncorrected formation energy comes out at -1182.8 meV per atom. Its total energy is -3.52 eV per atom. For the energy above the lowest structure with this stoichiometry, the calculation gives 37.5 meV/atom.

***

Below is a relaxed LaMgRh3 crystal, with properties calculated at the PBE-GGA level.

Cell lengths 4.6327, 4.6327, 4.6327 Å; angles 90.00, 90.00, 90.00 degrees
Element x y z (fractional)
Mg (0.0000, 0.0000, 0.0000)
Rh (0.0000, 0.5000, 0.0000)
Rh (0.0000, 0.0000, 0.5000)
Rh (0.5000, 0.0000, 0.0000)
La (0.5000, 0.5000, 0.5000)

Its formation energy is 0.352 eV per formula unit. Its total energy is -5.64 eV per atom. For the energy above the lowest structure with this stoichiometry, the calculation gives 0.0 meV/atom.

***

Below is a relaxed Zr6CuRu5 crystal, with properties calculated at the PBE-GGA level.

Cell lengths 4.6552, 6.5285, 8.0491 Å; angles 113.93, 106.81, 90.00 degrees
Element x y z (fractional)
Ru (0.6666, 0.1666, 0.3333)
Ru (0.3335, 0.3335, 0.6669)
Ru (0.0000, 0.5000, 0.0000)
Ru (0.6665, 0.6665, 0.3331)
Ru (0.3334, 0.8334, 0.6667)
Cu (0.0000, 0.0000, 0.0000)
Zr (0.8329, 0.5830, 0.6657)
Zr (0.8329, 0.0827, 0.6657)
Zr (0.5000, 0.7494, 0.0000)
Zr (0.5000, 0.2506, 0.0000)
Zr (0.1671, 0.9173, 0.3343)
Zr (0.1671, 0.4170, 0.3343)

Its formation energy is -6.574 eV per formula unit. Its total energy is -9.03 eV per atom.

***

Below is a relaxed Cs2MnBi2S5 crystal, with properties calculated at the PBE-GGA level.

Cell lengths 4.1892, 16.0468, 18.4654 Å; angles 90.00, 90.00, 90.00 degrees
Element x y z (fractional)
Cs (0.2500, 0.5062, 0.1224)
Cs (0.7500, 0.5356, 0.3815)
Cs (0.2500, 0.9644, 0.8815)
Cs (0.7500, 0.9938, 0.6224)
Cs (0.7500, 0.4938, 0.8776)
Cs (0.7500, 0.0356, 0.1185)
Cs (0.2500, 0.4644, 0.6185)
Cs (0.2500, 0.0062, 0.3776)
Mn (0.7500, 0.7903, 0.3556)
Mn (0.7500, 0.2903, 0.1444)
Mn (0.2500, 0.2097, 0.6444)
Mn (0.2500, 0.7097, 0.8556)
Bi (0.2500, 0.2516, 0.9828)
Bi (0.7500, 0.2484, 0.4828)
Bi (0.7500, 0.7104, 0.6986)
Bi (0.7500, 0.7484, 0.0172)
Bi (0.2500, 0.7896, 0.1986)
Bi (0.7500, 0.2104, 0.8014)
Bi (0.2500, 0.7516, 0.5172)
Bi (0.2500, 0.2896, 0.3014)
S (0.2500, 0.1105, 0.7430)
S (0.2500, 0.3635, 0.4373)
S (0.2500, 0.8635, 0.0627)
S (0.7500, 0.8895, 0.2570)
S (0.7500, 0.3895, 0.2430)
S (0.7500, 0.7893, 0.8452)
S (0.2500, 0.3187, 0.8511)
S (0.2500, 0.7107, 0.3452)
S (0.7500, 0.6813, 0.1489)
S (0.2500, 0.8187, 0.6489)
S (0.2500, 0.1419, 0.5287)
S (0.2500, 0.2107, 0.1548)
S (0.7500, 0.2893, 0.6548)
S (0.7500, 0.8581, 0.4713)
S (0.7500, 0.6365, 0.5627)
S (0.2500, 0.6419, 0.9713)
S (0.2500, 0.6105, 0.7570)
S (0.7500, 0.1365, 0.9373)
S (0.7500, 0.1813, 0.3511)
S (0.7500, 0.3581, 0.0287)

The uncorrected formation energy comes out at -759.0 meV per atom. Its total energy is -4.69 eV per atom.